(1)
Below is an optimized crystal structure of Ce2SmVN4, with properties calculated at the PBE level.

```
16
Lattice="-2.3167 -1.6055 -1.9540 2.8691 -4.3302 3.1663 -8.1740 1.0435 8.8338" Properties=species:S:1:pos:R:3 pbc="T T T"
Ce -3.1970 -3.1922 6.4134
N -4.6557 -3.6425 8.5128
N -5.5490 -2.5103 5.6316
N -4.0870 0.5217 4.4169
V -6.1315 -3.4927 7.1295
N -7.4498 -2.2676 7.6858
Ce -4.4246 -1.7001 3.6328
N 0.0000 0.0000 0.0000
N -2.9659 -1.2498 1.5334
Sm -1.8499 -4.5985 2.9617
N -0.1719 -2.6247 2.3604
Sm -5.7718 -0.2938 7.0845
N -2.0726 -2.3820 4.4145
V -1.4901 -1.3996 2.9167
Ce -6.5575 -2.7632 10.0451
Ce -1.0641 -2.1291 0.0011
```

Calculated values
uncorrected formation energy	-9.83	eV/f.u.
DOS(E_F)	13.5	states/eV per cell
space-group type	Cmcm, No. 63

=====

(2)
Below is an optimized crystal structure of K2HgF, with properties calculated at the PBE level.

```
4
Lattice="3.9048 0.0000 0.0000 1.9524 3.3816 0.0000 1.9524 1.1272 8.9225" Properties=species:S:1:pos:R:3 pbc="T T T"
K 5.8571 3.3816 7.3529
Hg 3.9048 2.2544 4.4612
F 0.0000 0.0000 0.0000
K 1.9524 1.1272 1.5696
```

Calculated values
uncorrected formation energy	-5.55	eV/f.u.
ΔE to the lowest computed polymorph	0	meV/atom
DOS(E_F)	1.3	states/eV per cell
space-group type	R-3m, No. 166

=====

(3)
Below is an optimized crystal structure of CoH2Au2, with properties calculated at the PBE level.

```
5
Lattice="-1.8412 -2.2727 -0.6650 1.9508 -1.9333 1.2058 -2.7244 -1.4660 5.7879" Properties=species:S:1:pos:R:3 pbc="T T T"
H -0.3594 -2.7511 3.6321
Au -0.7141 -1.9267 1.7968
Co 0.0000 0.0000 0.0000
Au -1.9007 -3.7452 4.5319
H -2.2554 -2.9208 2.6966
```

Calculated values
ΔE to the lowest computed polymorph	249	meV/atom
DOS(E_F)	4.1	states/eV per cell
space-group type	I4/mmm, No. 139

=====

(4)
Below is an optimized crystal structure of AlAsSe2, with properties calculated at the PBE level.

```
4
Lattice="-8.2333 2.4250 -1.9060 -7.9624 -0.8857 -3.6217 -8.7616 -0.7310 0.0273" Properties=species:S:1:pos:R:3 pbc="T T T"
Al -12.4369 0.4028 -2.7410
Se -5.3103 0.1720 -1.1703
As -18.8637 0.6109 -4.1574
Se -0.8251 0.0267 -0.1818
```

Calculated values
uncorrected formation energy	-1.16	eV/f.u.
ΔE to the lowest computed polymorph	22	meV/atom
space-group type	R3m, No. 160

=====

(5)
Below is an optimized crystal structure of Mo3PdBr, with properties calculated at the PBE level.

```
5
Lattice="4.8418 0.0000 0.0000 0.0000 4.8418 0.0000 0.0000 0.0000 4.8418" Properties=species:S:1:pos:R:3 pbc="T T T"
Mo 2.4209 0.0000 0.0000
Pd 0.0000 0.0000 0.0000
Mo 0.0000 2.4209 0.0000
Br 2.4209 2.4209 2.4209
Mo 0.0000 0.0000 2.4209
```

Calculated values
uncorrected formation energy	10.66	eV/f.u.
ΔE to the lowest computed polymorph	521	meV/atom
DOS(E_F)	9.6	states/eV per cell
space-group type	Pm-3m, No. 221

=====

(6)
Below is an optimized crystal structure of SiSb3H, with properties calculated at the PBE level.

```
5
Lattice="-2.4925 3.4952 -1.8929 -3.8792 -1.6520 2.0578 0.8665 2.6583 3.7675" Properties=species:S:1:pos:R:3 pbc="T T T"
Si -2.7526 2.2508 1.9662
Sb 0.4332 1.3292 1.8838
Sb -1.2463 1.7476 -0.9465
Sb -1.9396 -0.8260 1.0289
H 0.0000 0.0000 0.0000
```

Calculated values
ΔE to the lowest computed polymorph	0	meV/atom
DOS(E_F)	3.2	states/eV per cell
space-group type	Pm-3m, No. 221

=====

(7)
Below is an optimized crystal structure of Sn2GePb2, with properties calculated at the PBE level.

```
10
Lattice="-6.7754 -3.0082 1.2657 3.2336 -6.5824 1.6653 0.3055 1.4142 4.9967" Properties=species:S:1:pos:R:3 pbc="T T T"
Ge -1.7709 -4.7953 1.4655
Sn 0.1947 -2.7834 0.7759
Pb -1.7780 -6.7450 4.7256
Ge 0.0000 0.0000 0.0000
Sn 0.3491 -6.7239 1.8817
Pb -1.4583 -1.4314 3.2021
Pb 1.1409 -4.2865 3.8512
Sn -3.8909 -2.8668 1.0493
Pb -4.3772 -3.8899 4.0764
Sn -3.7365 -6.8073 2.1551
```

Calculated values
ΔE to the lowest computed polymorph	0	meV/atom
DOS(E_F)	4.5	states/eV per cell
calculated formation energy	0.171	eV per atom
space-group type	P4/mbm, No. 127

=====

(8)
Below is an optimized crystal structure of KMg2NiPb, with properties calculated at the PBE level.

```
5
Lattice="-0.4841 4.1327 2.9868 -5.0070 -0.9525 0.5064 0.9541 -2.8423 4.0874" Properties=species:S:1:pos:R:3 pbc="T T T"
Pb 0.4771 -1.4212 2.0437
Mg -2.5035 -0.4763 0.2532
Ni 0.0000 0.0000 0.0000
Mg -0.2421 2.0663 1.4934
K -2.2685 0.1689 3.7903
```

Calculated values
DOS(E_F)	2.9	states/eV per cell
calculated formation energy	-0.006	eV per atom
space-group type	P4/mmm, No. 123

=====

(9)
Below is an optimized crystal structure of FeCoRh2, with properties calculated at the PBE level.

```
4
Lattice="-1.7213 -0.2716 -1.9644 2.3338 -1.1525 -0.3469 -2.9943 -7.1510 3.6124" Properties=species:S:1:pos:R:3 pbc="T T T"
Co -1.5357 -3.6675 1.8526
Fe -1.9044 -5.9915 1.5113
Rh -2.9540 -7.0548 3.5638
Rh -0.4792 -2.5878 -0.2081
```

Calculated values
DOS(E_F)	5.7	states/eV per cell
calculated formation energy	0.164	eV per atom
space-group type	Cmm2, No. 35

=====

(10)
Below is an optimized crystal structure of Ba2Tl6Zn, with properties calculated at the PBE level.

```
9
Lattice="-6.4349 3.0858 -0.7689 1.4191 -6.2033 -3.2689 -2.8009 -4.8451 3.9961" Properties=species:S:1:pos:R:3 pbc="T T T"
Tl -4.1014 -3.6780 1.6001
Zn 0.0000 0.0000 0.0000
Tl -3.7152 -4.2846 -1.6417
Tl -6.4995 -5.3107 -0.4216
Tl -1.3171 -2.6520 0.3800
Ba -3.5946 -7.3079 0.7547
Tl -0.7306 -5.7158 -1.2851
Tl -7.0860 -2.2468 1.2434
Ba -4.2221 -0.6548 -0.7963
```

Calculated values
DOS(E_F)	3.1	states/eV per cell
calculated formation energy	-0.225	eV per atom
space-group type	C2/m, No. 12

=====

(11)
Below is an optimized crystal structure of NdUPdS4, with properties calculated at the PBE level.

```
14
Lattice="-0.5420 1.0854 6.3798 0.3286 -6.0077 1.0500 7.5915 0.1160 -1.7118" Properties=species:S:1:pos:R:3 pbc="T T T"
S 5.7731 -3.0072 -0.4921
U 3.1878 -3.6275 4.8926
Nd 7.0117 -3.5648 4.0544
S 1.4547 0.9486 5.7299
U 4.1902 -1.1789 0.8254
S 5.9233 -5.7550 -0.0119
S 4.6712 -3.9311 2.6913
Pd 2.5419 -4.2154 1.7310
S 0.9223 -3.9985 3.4788
S 1.6050 -1.7991 6.2101
Nd 0.3664 -1.2415 1.6636
Pd 4.8362 -0.5910 3.9870
S 2.7069 -0.8753 3.0267
S 6.4558 -0.8079 2.2393
```

Calculated values
uncorrected formation energy	-8.88	eV/f.u.
DOS(E_F)	11.3	states/eV per cell
space-group type	P2_1/m, No. 11

=====

no.,M_tot (μB per cell)
1,4.74
2,0.00
3,1.89
4,0.00
5,2.48
6,0.00
7,0.00
8,0.00
9,5.48
10,0.00
11,2.86